# 1
Computed, not measured: Tb3Pm5Tl after structural relaxation at the PBE-GGA level of DFT.

Computed properties:
**Space-group type**: No. 12
**Crystal system**: monoclinic
**Energy relative to the elements**: 0.384 eV/atom

a b c (Å): 7.9662 7.9662 11.4601
angles (deg): 95.21 95.21 60.64
Fractional coordinates of all 18 atoms:
Tb (0.0000, 0.0000, 0.0000)
Tb (0.0000, 0.0000, 0.5000)
Tb (0.2585, 0.2585, 0.4741)
Tb (0.3320, 0.3320, 0.7830)
Tb (0.6680, 0.6680, 0.2170)
Tb (0.7415, 0.7415, 0.5259)
Pm (0.0876, 0.6605, 0.2455)
Pm (0.2379, 0.2379, 0.0366)
Pm (0.3312, 0.6688, 0.0000)
Pm (0.3395, 0.9124, 0.7545)
Pm (0.4924, 0.4924, 0.6291)
Pm (0.5076, 0.5076, 0.3709)
Pm (0.6605, 0.0876, 0.2455)
Pm (0.6688, 0.3312, 0.0000)
Pm (0.7621, 0.7621, 0.9634)
Pm (0.9124, 0.3395, 0.7545)
Tl (0.0968, 0.0968, 0.2590)
Tl (0.9032, 0.9032, 0.7410)

# 2
Computed, not measured: Na7SeO2 after structural relaxation at the PBE-GGA level of DFT.

Computed properties:
**Space-group type**: No. 65
**Calculated total energy**: -3.202 eV per atom
**Crystal system**: orthorhombic

a b c (Å): 7.1042 7.1042 4.5235
angles (deg): 90.00 90.00 114.31
Fractional coordinates of all 10 atoms:
Na (0.0000, 0.0000, 0.0000)
Na (0.1761, 0.4567, 0.0000)
Na (0.2017, 0.7983, 0.5000)
Na (0.4567, 0.1761, 0.0000)
Na (0.5433, 0.8239, 0.0000)
Na (0.7983, 0.2017, 0.5000)
Na (0.8239, 0.5433, 0.0000)
Se (0.5000, 0.5000, 0.5000)
O (0.1954, 0.8046, 0.0000)
O (0.8046, 0.1954, 0.0000)

# 3
Computed, not measured: Ac4ZnIr4 after structural relaxation at the PBE-GGA level of DFT.

Computed properties:
**Space-group type**: No. 86
**Crystal system**: tetragonal
**Energy relative to the elements**: -0.483 eV/atom

a b c (Å): 8.9139 8.9139 5.9635
angles (deg): 90.00 90.00 90.00
Fractional coordinates of all 18 atoms:
Ac (0.0365, 0.6865, 0.0984)
Ac (0.1865, 0.9635, 0.5984)
Ac (0.3135, 0.5365, 0.5984)
Ac (0.4635, 0.8135, 0.0984)
Ac (0.5365, 0.1865, 0.9016)
Ac (0.6865, 0.4635, 0.4016)
Ac (0.8135, 0.0365, 0.4016)
Ac (0.9635, 0.3135, 0.9016)
Zn (0.2500, 0.2500, 0.2500)
Zn (0.7500, 0.7500, 0.7500)
Ir (0.0079, 0.3618, 0.4113)
Ir (0.1382, 0.0079, 0.0887)
Ir (0.3618, 0.4921, 0.0887)
Ir (0.4921, 0.1382, 0.4113)
Ir (0.5079, 0.8618, 0.5887)
Ir (0.6382, 0.5079, 0.9113)
Ir (0.8618, 0.9921, 0.9113)
Ir (0.9921, 0.6382, 0.5887)

# 4
Computed, not measured: MgSbTe4 after structural relaxation at the PBE-GGA level of DFT.

Computed properties:
**Space-group type**: No. 216
**Calculated total energy**: -2.645 eV per atom
**Crystal system**: cubic

a b c (Å): 6.3382 6.3382 6.3382
angles (deg): 60.00 60.00 60.00
Fractional coordinates of all 6 atoms:
Mg (0.0000, 0.0000, 0.0000)
Sb (0.7500, 0.7500, 0.7500)
Te (0.3747, 0.3747, 0.3747)
Te (0.3747, 0.3747, 0.8759)
Te (0.3747, 0.8759, 0.3747)
Te (0.8759, 0.3747, 0.3747)

# 5
Computed, not measured: Pa2TiNi2S6 after structural relaxation at the PBE-GGA level of DFT.

Computed properties:
**Space-group type**: No. 162
**Calculated total energy**: -6.800 eV per atom
**Crystal system**: trigonal

a b c (Å): 6.2426 6.2426 5.9863
angles (deg): 90.00 90.00 120.00
Fractional coordinates of all 11 atoms:
Pa (0.3333, 0.6667, 0.0000)
Pa (0.6667, 0.3333, 0.0000)
Ti (0.0000, 0.0000, 0.0000)
Ni (0.3333, 0.6667, 0.5000)
Ni (0.6667, 0.3333, 0.5000)
S (0.0000, 0.3225, 0.2742)
S (0.0000, 0.6775, 0.7258)
S (0.3225, 0.0000, 0.2742)
S (0.3225, 0.3225, 0.7258)
S (0.6775, 0.0000, 0.7258)
S (0.6775, 0.6775, 0.2742)

# 6
Computed, not measured: NaTl3In4I8 after structural relaxation at the PBE-GGA level of DFT.

Computed properties:
**Space-group type**: No. 166
**Calculated total energy**: -2.613 eV per atom
**Crystal system**: trigonal

a b c (Å): 9.8877 9.8877 9.8877
angles (deg): 60.06 60.06 60.06
Fractional coordinates of all 16 atoms:
Na (0.0000, 0.0000, 0.0000)
Tl (0.0000, 0.5000, 0.5000)
Tl (0.5000, 0.0000, 0.5000)
Tl (0.5000, 0.5000, 0.0000)
In (0.0000, 0.0000, 0.5000)
In (0.0000, 0.5000, 0.0000)
In (0.5000, 0.0000, 0.0000)
In (0.5000, 0.5000, 0.5000)
I (0.2397, 0.7579, 0.7579)
I (0.2421, 0.2421, 0.7603)
I (0.2421, 0.7603, 0.2421)
I (0.2488, 0.2488, 0.2488)
I (0.7512, 0.7512, 0.7512)
I (0.7579, 0.2397, 0.7579)
I (0.7579, 0.7579, 0.2397)
I (0.7603, 0.2421, 0.2421)

# 7
Computed, not measured: SrMn3Tl after structural relaxation at the PBE-GGA level of DFT.

Computed properties:
**Space-group type**: No. 221
**Crystal system**: cubic
**Energy relative to the elements**: 1.761 eV/atom

a b c (Å): 5.5176 5.5176 5.5176
angles (deg): 90.00 90.00 90.00
Fractional coordinates of all 5 atoms:
Sr (0.0000, 0.0000, 0.0000)
Mn (0.0000, 0.0000, 0.5000)
Mn (0.0000, 0.5000, 0.0000)
Mn (0.5000, 0.0000, 0.0000)
Tl (0.5000, 0.5000, 0.5000)

# 8
Computed, not measured: AlTcSb2 after structural relaxation at the PBE-GGA level of DFT.

Computed properties:
**Space-group type**: No. 119
**Calculated total energy**: -5.120 eV per atom
**Crystal system**: tetragonal

a b c (Å): 5.3012 5.3012 5.3012
angles (deg): 132.83 132.83 68.93
Fractional coordinates of all 4 atoms:
Al (0.0000, 0.0000, 0.0000)
Tc (0.7500, 0.2500, 0.5000)
Sb (0.2500, 0.7500, 0.5000)
Sb (0.5000, 0.5000, 0.0000)